Version one
This record from Alexandria via LeMat-Bulk describes a relaxed structure of NaMgIn. The functional is PBE.

Unit cell a=12.686 b=12.686 c=12.686 alpha=163.10 beta=163.10 gamma=23.99
Fractional coordinates of all 6 atoms:
Na 0.072 0.072 0.000
Na 0.928 0.928 0.000
Mg 0.216 0.216 0.000
Mg 0.784 0.784 0.000
In 0.348 0.348 0.000
In 0.652 0.652 0.000

Calculated values
ρ ... 3.1 g/cm3
Symmetry ... No. 139


Version two
This record from Alexandria via LeMat-Bulk describes a relaxed structure of NaMgIn. The functional is PBE.

Unit cell a=3.251 b=4.967 c=10.061 alpha=90.00 beta=98.98 gamma=90.00
Fractional coordinates of all 6 atoms:
Na 0.000 0.000 0.000
Na 0.406 0.500 0.826
Mg 0.601 0.500 0.200
Mg 0.802 0.000 0.626
In 0.159 0.000 0.320
In 0.243 0.500 0.506

Calculated values
ρ ... 3.4 g/cm3
Symmetry ... No. 6


Order from most stable to least stable according to the calculation: version one, version two


Version one
This record from Alexandria via LeMat-Bulk describes a relaxed structure of Na2Mg2In. The functional is PBE.

Unit cell a=7.454 b=7.454 c=5.347 alpha=90.00 beta=90.00 gamma=90.00
Fractional coordinates of all 10 atoms:
Na 0.173 0.327 0.000
Na 0.327 0.827 0.000
Na 0.673 0.173 0.000
Na 0.827 0.673 0.000
Mg 0.143 0.643 0.500
Mg 0.357 0.143 0.500
Mg 0.643 0.857 0.500
Mg 0.857 0.357 0.500
In 0.000 0.000 0.500
In 0.500 0.500 0.500

Calculated values
ρ ... 2.3 g/cm3
Symmetry ... No. 127


Version two
This record from Alexandria via LeMat-Bulk describes a relaxed structure of Na2Mg2In. The functional is PBE.

Unit cell a=8.719 b=8.719 c=8.719 alpha=152.21 beta=152.21 gamma=39.70
Fractional coordinates of all 5 atoms:
Na 0.250 0.750 0.500
Na 0.750 0.250 0.500
Mg 0.090 0.090 0.000
Mg 0.910 0.910 0.000
In 0.500 0.500 0.000

Calculated values
ρ ... 2.4 g/cm3
Symmetry ... No. 139


Order from most stable to least stable according to the calculation: version one, version two


Version one
This record from Alexandria via LeMat-Bulk describes a relaxed structure of NaMg2In3. The functional is PBE.

Unit cell a=3.273 b=3.273 c=13.717 alpha=90.00 beta=90.00 gamma=90.00
Fractional coordinates of all 6 atoms:
Na 0.000 0.000 0.000
Mg 0.000 0.000 0.337
Mg 0.000 0.000 0.663
In 0.500 0.500 0.182
In 0.500 0.500 0.500
In 0.500 0.500 0.818

Calculated values
ρ ... 4.7 g/cm3
Symmetry ... No. 123


Version two
This record from Alexandria via LeMat-Bulk describes a relaxed structure of NaMg2In3. The functional is PBE.

Unit cell a=7.312 b=7.312 c=6.111 alpha=90.00 beta=90.00 gamma=86.61
Fractional coordinates of all 12 atoms:
Na 0.190 0.810 0.750
Na 0.810 0.190 0.250
Mg 0.253 0.253 0.000
Mg 0.253 0.253 0.500
Mg 0.747 0.747 0.000
Mg 0.747 0.747 0.500
In 0.070 0.599 0.250
In 0.401 0.930 0.250
In 0.480 0.520 0.250
In 0.520 0.480 0.750
In 0.599 0.070 0.750
In 0.930 0.401 0.750

Calculated values
ρ ... 4.2 g/cm3
Symmetry ... No. 63


Order from most stable to least stable according to the calculation: version one, version two


Version one
This record from Alexandria via LeMat-Bulk describes a relaxed structure of Na3MgIn. The functional is PBE.

Unit cell a=5.900 b=5.900 c=5.900 alpha=90.00 beta=90.00 gamma=90.00
Fractional coordinates of all 5 atoms:
Na 0.000 0.000 0.500
Na 0.000 0.500 0.000
Na 0.500 0.000 0.000
Mg 0.500 0.500 0.500
In 0.000 0.000 0.000

Calculated values
ρ ... 1.7 g/cm3
Symmetry ... No. 221


Version two
This record from Alexandria via LeMat-Bulk describes a relaxed structure of Na3MgIn. The functional is PBE.

Unit cell a=3.257 b=9.359 c=9.359 alpha=35.45 beta=90.00 gamma=90.00
Fractional coordinates of all 5 atoms:
Na 0.000 0.000 0.000
Na 0.500 0.076 0.582
Na 0.500 0.582 0.076
Mg 0.500 0.164 0.164
In 0.000 0.662 0.662

Calculated values
ρ ... 2.1 g/cm3
Symmetry ... No. 38


Order from most stable to least stable according to the calculation: version two, version one


Version one
This record from Alexandria via LeMat-Bulk describes a relaxed structure of Na3MgIn8. The functional is PBE.

Unit cell a=10.639 b=10.639 c=10.639 alpha=34.07 beta=34.07 gamma=34.07
Fractional coordinates of all 12 atoms:
Na 0.000 0.000 0.000
Na 0.124 0.124 0.124
Na 0.501 0.501 0.501
Mg 0.628 0.628 0.628
In 0.061 0.562 0.562
In 0.063 0.063 0.564
In 0.063 0.564 0.063
In 0.313 0.313 0.313
In 0.562 0.061 0.562
In 0.562 0.562 0.061
In 0.564 0.063 0.063
In 0.812 0.812 0.812

Calculated values
ρ ... 5.0 g/cm3
Symmetry ... No. 160


Version two
This record from Alexandria via LeMat-Bulk describes a relaxed structure of Na3MgIn8. The functional is PBE.

Unit cell a=8.008 b=8.008 c=8.008 alpha=115.93 beta=115.93 gamma=97.21
Fractional coordinates of all 12 atoms:
Na 0.000 0.000 0.000
Na 0.250 0.750 0.500
Na 0.750 0.250 0.500
Mg 0.500 0.500 0.000
In 0.138 0.138 0.742
In 0.233 0.711 0.000
In 0.289 0.289 0.521
In 0.397 0.397 0.258
In 0.603 0.862 0.000
In 0.711 0.233 0.000
In 0.767 0.767 0.479
In 0.862 0.603 0.000

Calculated values
ρ ... 4.4 g/cm3
Symmetry ... No. 121


Order from most stable to least stable according to the calculation: version one, version two


Version one
This record from Alexandria via LeMat-Bulk describes a relaxed structure of Na2MgIn2. The functional is PBE.

Unit cell a=8.264 b=8.264 c=8.264 alpha=150.22 beta=150.22 gamma=42.61
Fractional coordinates of all 5 atoms:
Na 0.250 0.750 0.500
Na 0.750 0.250 0.500
Mg 0.000 0.000 0.000
In 0.407 0.407 0.000
In 0.593 0.593 0.000

Calculated values
ρ ... 3.6 g/cm3
Symmetry ... No. 139


Version two
This record from Alexandria via LeMat-Bulk describes a relaxed structure of Na2MgIn2. The functional is PBE.

Unit cell a=8.878 b=8.878 c=3.474 alpha=90.00 beta=90.00 gamma=90.00
Fractional coordinates of all 10 atoms:
Na 0.126 0.374 0.000
Na 0.374 0.874 0.000
Na 0.626 0.126 0.000
Na 0.874 0.626 0.000
Mg 0.000 0.000 0.000
Mg 0.500 0.500 0.000
In 0.173 0.673 0.500
In 0.327 0.173 0.500
In 0.673 0.827 0.500
In 0.827 0.327 0.500

Calculated values
ρ ... 3.6 g/cm3
Symmetry ... No. 127


Version three
This record from Alexandria via LeMat-Bulk describes a relaxed structure of Na2MgIn2. The functional is PBE.

Unit cell a=8.783 b=8.783 c=5.914 alpha=90.00 beta=90.00 gamma=138.42
Fractional coordinates of all 10 atoms:
Na 0.071 0.929 0.750
Na 0.304 0.696 0.250
Na 0.696 0.304 0.750
Na 0.929 0.071 0.250
Mg 0.500 0.500 0.000
Mg 0.500 0.500 0.500
In 0.117 0.375 0.750
In 0.375 0.117 0.250
In 0.625 0.883 0.750
In 0.883 0.625 0.250

Calculated values
ρ ... 3.3 g/cm3
Symmetry ... No. 63


Version four
This record from Alexandria via LeMat-Bulk describes a relaxed structure of Na2MgIn2. The functional is PBE.

Unit cell a=7.764 b=7.764 c=4.771 alpha=90.00 beta=90.00 gamma=90.00
Fractional coordinates of all 10 atoms:
Na 0.166 0.334 0.000
Na 0.334 0.834 0.000
Na 0.666 0.166 0.000
Na 0.834 0.666 0.000
Mg 0.000 0.000 0.500
Mg 0.500 0.500 0.500
In 0.137 0.637 0.500
In 0.363 0.137 0.500
In 0.637 0.863 0.500
In 0.863 0.363 0.500

Calculated values
ρ ... 3.5 g/cm3
Symmetry ... No. 127


Order from most stable to least stable according to the calculation: version four, version three, version one, version two